The following is a PBE calculation of a relaxed BiPdSCl2 crystal, from Alexandria via LeMat-Bulk.

Results
The formation energy without anion corrections is -0.088 eV/atom. The calculation puts the total moment at 0.0 μB/f.u.

abc: 4.7822 4.7822 4.9137
angles: 90.00 90.00 90.00
Space group P4/mmm (No. 123)
Unique sites:
Bi 0.0000 0.0000 0.0000 [1 per cell]
Pd 0.5000 0.5000 0.5000 [1 per cell]
S 0.5000 0.5000 0.0000 [1 per cell]
Cl 0.0000 0.5000 0.5000 [2 per cell]



The following is a PBE calculation of a relaxed BaCrRe2 crystal, from Alexandria via LeMat-Bulk.

Results
The calculation puts the total moment at 0.0 μB/f.u. The value obtained for the energy of formation is 0.7922 eV per atom.

abc: 3.0976 3.4605 7.8250
angles: 90.00 90.00 90.00
Space group Pmm2 (No. 25)
Unique sites:
Ba 0.0000 0.0000 0.0000 [1 per cell]
Cr 0.5000 0.5000 0.3593 [1 per cell]
Re 0.0000 0.0000 0.4905 [1 per cell]
Re 0.5000 0.5000 0.6604 [1 per cell]



The following is a PBE calculation of a relaxed SrLu2Co crystal, from Alexandria via LeMat-Bulk.

Results
The calculation puts the total moment at 0.0 μB/f.u. The value obtained for the energy of formation is 0.0864 eV per atom.

abc: 3.8216 3.8216 31.2162
angles: 90.00 90.00 120.00
Space group R-3m (No. 166, hexagonal axes)
Unique sites:
Sr 0.0000 0.0000 0.0000 [3 per cell]
Lu 0.0000 0.0000 0.1224 [6 per cell]
Co 0.0000 0.0000 0.5000 [3 per cell]



The following is a PBE calculation of a relaxed Re2Ru crystal, from Alexandria via LeMat-Bulk.

Results
The calculation puts the total moment at 0.0 μB/f.u. The value obtained for the energy of formation is 0.4144 eV per atom.

abc: 7.2089 7.2089 7.2089
angles: 90.00 90.00 90.00
Space group Fd-3m (No. 227, origin choice 2)
Unique sites:
Re 0.0000 0.0000 0.0000 [16 per cell]
Ru 0.1250 0.1250 0.6250 [8 per cell]



- Look up the total moment of the first one.
  0.0 μB/f.u.



What did the third record say?
The following is a PBE calculation of a relaxed SrLu2Co crystal, from Alexandria via LeMat-Bulk.

Results
The calculation puts the total moment at 0.0 μB/f.u. The value obtained for the energy of formation is 0.0864 eV per atom.

abc: 3.8216 3.8216 31.2162
angles: 90.00 90.00 120.00
Space group R-3m (No. 166, hexagonal axes)
Unique sites:
Sr 0.0000 0.0000 0.0000 [3 per cell]
Lu 0.0000 0.0000 0.1224 [6 per cell]
Co 0.0000 0.0000 0.5000 [3 per cell]